No. 1
DFT (PBE) results for an optimized crystal structure of TbSm2Co2B2C3.

## Properties
- density (g cm⁻³) = 7.82
- M_tot (μB per formula unit) = 1.3
- E (eV per cell) = -71.7
- SG = No. 139

extended XYZ file:
```
10
Lattice="2.175 -10.075 2.532 -2.910 -10.018 1.953 0.643 9.482 -4.723" Properties=species:S:1:pos:R:3 pbc="T T T"
B -0.144 -3.948 0.881
B -0.591 -16.144 3.603
C -0.090 -2.470 0.551
C -0.368 -10.046 2.242
C -0.645 -17.622 3.933
Co 1.225 -5.319 0.025
Co -1.317 -5.291 -0.264
Sm -0.275 -7.517 1.678
Sm -0.460 -12.576 2.807
Tb 0.000 0.000 0.000
```

No. 2
DFT (PBE) results for an optimized crystal structure of SmYCo2B2C2.

## Properties
- density (g cm⁻³) = 6.76
- M_tot (μB per formula unit) = 1.0
- E (eV per cell) = -60.1
- SG = No. 99

extended XYZ file:
```
8
Lattice="3.594 0.000 0.000 0.000 3.594 0.000 0.000 0.000 7.664" Properties=species:S:1:pos:R:3 pbc="T T T"
B 0.000 0.000 1.128
B 1.797 1.797 6.548
C 0.000 0.000 2.642
C 1.797 1.797 5.037
Co 1.797 0.000 7.658
Co 0.000 1.797 7.658
Sm 1.797 1.797 2.533
Y 0.000 0.000 5.114
```

No. 3
DFT (PBE) results for an optimized crystal structure of TmCo2B2C.

## Properties
- density (g cm⁻³) = 8.41
- M_tot (μB per formula unit) = 0.0
- E (eV per cell) = -44.0
- SG = No. 139

extended XYZ file:
```
6
Lattice="-3.490 0.000 0.000 0.000 -3.490 0.000 1.745 1.745 5.196" Properties=species:S:1:pos:R:3 pbc="T T T"
B -1.745 -1.745 1.504
B 0.000 0.000 3.693
C -1.745 -1.745 0.000
Co -1.745 0.000 2.598
Co 0.000 -1.745 2.598
Tm 0.000 0.000 0.000
```

No. 4
DFT (PBE) results for an optimized crystal structure of Y3Co2B2C3.

## Properties
- density (g cm⁻³) = 5.68
- M_tot (μB per formula unit) = 1.4
- E (eV per cell) = -77.8
- SG = No. 139

extended XYZ file:
```
10
Lattice="-1.775 1.775 10.265 1.775 -1.775 10.265 1.775 1.775 -10.265" Properties=species:S:1:pos:R:3 pbc="T T T"
B 0.000 0.000 4.001
B 0.000 0.000 16.528
C 0.000 0.000 2.498
C 0.000 0.000 10.265
C 0.000 0.000 18.031
Co 0.000 1.775 5.132
Co 1.775 0.000 5.132
Y 0.000 0.000 0.000
Y 0.000 0.000 7.719
Y 0.000 0.000 12.811
```